Li2Sn2S3 | PBE-GGA | relaxed

```
Li2Sn2S3
1.0
6.417 0.000 0.000
0.000 7.969 0.000
-3.520 0.000 6.110
Li Sn S
4 4 6
direct
0.119 0.119 0.423
0.119 0.381 0.923
0.881 0.619 0.077
0.881 0.881 0.577
0.374 0.660 0.614
0.374 0.840 0.114
0.626 0.160 0.886
0.626 0.340 0.386
0.191 0.095 0.817
0.191 0.405 0.317
0.500 0.000 0.500
0.500 0.500 0.000
0.809 0.595 0.683
0.809 0.905 0.183
```

Calculated total energy, eV/atom: -4.200
Calculated density, Mg/m³: 3.69
Offset from the most stable computed form, eV per atom: 0.0615
SG: P2_1/c